DFT (PBE) results for an optimized crystal structure of GaHN2.

Properties
Its total energy is -61.481 eV for the cell shown. The distance to the lowest polymorph of the same formula comes out at 0.0 meV/atom.

a b c (Å): 3.1663 3.1663 13.1247
angles (deg): 90.00 90.00 120.00
With the nearest neighbours (Å) after each atom.
Space group R-3m (No. 166, hexagonal axes)
Asymmetric unit:
Ga 0.0000 0.0000 0.0000 x3  6 N 2.06
H 0.0000 0.0000 0.5000 x3  2 N 1.23
N 0.0000 0.0000 0.4064 x6  1 H 1.23